(1)
10
Lattice="5.642 0.000 0.000 0.000 5.642 0.000 0.000 0.000 4.045" Properties=species:S:1:pos:R:3 comment="Li2Be2Rh | Alexandria | PBE-GGA | optimized geometry" density_g_cm3=3.477 final_energy_ev_per_atom=-3.6783 m_tot_mub_per_cell=0.00 pbc="T T T"
Li 1.818 1.003 2.023
Li 4.639 1.818 2.023
Li 1.003 3.824 2.023
Li 3.824 4.639 2.023
Rh 0.000 0.000 0.000
Rh 2.821 2.821 0.000
Be 3.617 0.796 0.000
Be 0.796 2.025 0.000
Be 2.025 4.846 0.000
Be 4.846 3.617 0.000

***

(2)
4
Lattice="-0.417 -1.244 -4.116 3.432 0.030 -2.624 1.744 -3.726 -1.318" Properties=species:S:1:pos:R:3 comment="LiBeSnRh | Alexandria | PBE-GGA | optimized geometry" density_g_cm3=6.918 final_energy_ev_per_atom=-4.5564 m_tot_mub_per_cell=0.00 pbc="T T T"
Sn 1.190 -1.235 -2.015
Rh 2.379 -2.470 -4.029
Be 3.569 -3.705 -6.044
Li 0.000 0.000 0.000

***

(3)
5
Lattice="-3.048 -3.067 0.561 -0.027 -0.759 -4.294 3.215 -3.099 0.527" Properties=species:S:1:pos:R:3 comment="SrLiBeRh2 | Alexandria | PBE-GGA | optimized geometry" density_g_cm3=6.009 final_energy_ev_per_atom=-4.5906 m_tot_mub_per_cell=0.00 pbc="T T T"
Sr 0.070 -3.462 -1.603
Be 0.000 0.000 0.000
Li 1.608 -1.549 0.264
Rh -0.014 -0.379 -2.147
Rh -1.524 -1.534 0.281

***

(4)
5
Lattice="-2.666 -2.408 1.528 1.056 -3.118 -3.070 2.701 -1.460 2.411" Properties=species:S:1:pos:R:3 comment="Li2BeRhW | Alexandria | PBE-GGA | optimized geometry" density_g_cm3=7.495 final_energy_ev_per_atom=-4.7745 m_tot_mub_per_cell=0.00 pbc="T T T"
Li -1.333 -1.204 0.764
Li 1.350 -0.730 1.206
Be 0.000 0.000 0.000
Rh 0.545 -3.493 0.435
W 0.528 -1.559 -1.535

***

(5)
12
Lattice="-0.025 -0.371 5.412 -2.714 -0.207 -0.027 0.736 -9.148 -3.725" Properties=species:S:1:pos:R:3 comment="LiBeRu | Alexandria | PBE-GGA | optimized geometry" density_g_cm3=5.595 final_energy_ev_per_atom=-5.0144 de_polymorph_mev_per_atom=44 m_tot_mub_per_cell=0.00 pbc="T T T"
Ru -0.890 -6.133 -0.599
Ru 0.612 -8.064 0.410
Ru 0.099 -1.455 1.277
Ru -1.112 -3.594 2.259
Li -0.892 -6.453 2.041
Li 0.097 -1.776 3.917
Li -1.111 -3.274 -0.381
Li 0.614 -7.744 -2.230
Be -1.357 -0.104 -0.013
Be 0.356 -4.760 0.843
Be -1.369 -0.289 2.693
Be 0.368 -4.574 -1.862

***

(6)
4
Lattice="3.878 0.000 0.000 0.000 2.655 -0.071 0.000 1.448 4.594" Properties=species:S:1:pos:R:3 comment="LiBeRu2 | Alexandria | PBE-GGA | optimized geometry" density_g_cm3=7.593 final_energy_ev_per_atom=-5.9386 m_tot_mub_per_cell=0.00 pbc="T T T"
Ru 1.939 1.193 1.183
Ru 0.000 3.937 4.501
Be 0.000 2.544 2.265
Li 1.939 2.584 3.359

***

The calculation returns the following energy relative to the elements values, one per record and in order: 0.05 -0.31 -0.19 0.80 -0.04 0.11 eV/atom.